No. 1
Computed, not measured: a geometry-optimized Nd12SmSc7 structure at the GGA-PBE level of DFT.

Unit cell a=9.2104 b=9.2104 c=9.2104 alpha=108.12 beta=108.12 gamma=108.12
Sites, in units of the cell vectors:
Nd1 0.0619 0.2964 0.4107
Nd2 0.2043 0.6742 0.3735
Nd3 0.2964 0.4107 0.0619
Nd4 0.3258 0.6265 0.7957
Nd5 0.3735 0.2043 0.6742
Nd6 0.4107 0.0619 0.2964
Nd7 0.5893 0.9381 0.7036
Nd8 0.6265 0.7957 0.3258
Nd9 0.6742 0.3735 0.2043
Nd10 0.7036 0.5893 0.9381
Nd11 0.7957 0.3258 0.6265
Nd12 0.9381 0.7036 0.5893
Sm1 0.0000 0.0000 0.0000
Sc1 0.9999 0.1020 0.6845
Sc2 0.0001 0.8980 0.3155
Sc3 0.1020 0.6845 0.9999
Sc4 0.3155 0.0001 0.8980
Sc5 0.5000 0.5000 0.5000
Sc6 0.6845 0.9999 0.1020
Sc7 0.8980 0.3155 0.0001

Mass density   5.79 g/cm³
Calculated formation energy   14.82 kJ per mole of atoms

No. 2
Computed, not measured: a geometry-optimized SrCaH2W structure at the GGA-PBE level of DFT.

Unit cell a=4.5193 b=4.5193 c=6.5262 alpha=90.00 beta=90.00 gamma=90.00
Sites, in units of the cell vectors:
Sr1 0.0000 0.0000 0.0000
Ca1 0.5000 0.5000 0.5000
H1 0.0000 0.5000 0.0000
H2 0.5000 0.0000 0.0000
W1 0.0000 0.0000 0.5000

Mass density   3.91 g/cm³
E   -17.86 eV per cell

No. 3
Computed, not measured: a geometry-optimized ErPu3Ga4 structure at the GGA-PBE level of DFT.

Unit cell a=3.5280 b=5.0551 c=10.1841 alpha=90.00 beta=90.00 gamma=90.00
Sites, in units of the cell vectors:
Er1 0.0000 0.0000 0.0000
Pu1 0.0000 0.0000 0.5000
Pu2 0.0000 0.5000 0.2517
Pu3 0.0000 0.5000 0.7483
Ga1 0.5000 0.0000 0.2444
Ga2 0.5000 0.0000 0.7556
Ga3 0.5000 0.5000 0.0000
Ga4 0.5000 0.5000 0.5000

Mass density   10.77 g/cm³
Calculated formation energy   -31.62 kJ per mole of atoms

No. 4
Computed, not measured: a geometry-optimized K3PaCr2Se6 structure at the GGA-PBE level of DFT.

Unit cell a=6.9055 b=6.9055 c=8.0194 alpha=98.28 beta=98.28 gamma=119.93
Sites, in units of the cell vectors:
K1 0.0000 0.0000 0.0000
K2 0.3360 0.6640 0.0000
K3 0.6640 0.3360 0.0000
Pa1 0.5000 0.5000 0.5000
Cr1 0.1669 0.8331 0.5000
Cr2 0.8331 0.1669 0.5000
Se1 0.0875 0.4359 0.3068
Se2 0.2156 0.2156 0.6921
Se3 0.4359 0.0875 0.3068
Se4 0.5641 0.9125 0.6932
Se5 0.7844 0.7844 0.3079
Se6 0.9125 0.5641 0.6932

Mass density   4.85 g/cm³
E_form (uncorrected)   -1019 meV per atom

No. 5
Computed, not measured: a geometry-optimized MgMnSi2 structure at the GGA-PBE level of DFT.

Unit cell a=2.7393 b=2.7393 c=7.7956 alpha=90.00 beta=90.00 gamma=90.00
Sites, in units of the cell vectors:
Mg1 0.0000 0.0000 0.0000
Mn1 0.5000 0.5000 0.2681
Si1 0.0000 0.0000 0.4675
Si2 0.5000 0.5000 0.7148

Mass density   3.84 g/cm³
E_form (uncorrected)   191 meV per atom